CdCoMo2Os | PBE-GGA | relaxed Values from VASP.

Quantum ESPRESSO input file:
```
&SYSTEM
  ibrav = 0, nat = 5, ntyp = 4
/
ATOMIC_SPECIES
Mo 95.94 Mo.upf
Co 58.93 Co.upf
Cd 112.41 Cd.upf
Os 190.23 Os.upf
ATOMIC_POSITIONS crystal
Mo 0.0000 0.0000 0.5000
Mo 0.5000 0.0000 0.0000
Co 0.0000 0.0000 0.0000
Cd 0.5000 0.5000 0.5000
Os 0.0000 0.5000 0.0000
CELL_PARAMETERS angstrom
4.4594 0.0000 0.0000
0.0000 4.4970 0.0000
0.0000 0.0000 4.4594
```

Calculated values
DOS at the Fermi energy, states/eV per cell: 5.4
VASP energy, eV/atom: -6.93
Total magnetic moment, μB/f.u.: 0.00
SG: P4/mmm

CdCo2MoRh | PBE-GGA | relaxed Values from VASP.

Quantum ESPRESSO input file:
```
&SYSTEM
  ibrav = 0, nat = 5, ntyp = 4
/
ATOMIC_SPECIES
Co 58.93 Co.upf
Mo 95.94 Mo.upf
Cd 112.41 Cd.upf
Rh 102.91 Rh.upf
ATOMIC_POSITIONS crystal
Co 0.0000 0.0000 0.5000
Co 0.5000 0.0000 0.0000
Mo 0.0000 0.5000 0.0000
Cd 0.5000 0.5000 0.5000
Rh 0.0000 0.0000 0.0000
CELL_PARAMETERS angstrom
4.5835 0.0000 0.0000
0.0000 4.6453 0.0000
0.0000 0.0000 4.5835
```

Calculated values
DOS at the Fermi energy, states/eV per cell: 8.8
VASP energy, eV/atom: -5.39
Total magnetic moment, μB/f.u.: 4.79
SG: P4/mmm

CdCo3N | PBE-GGA | relaxed Values from VASP.

Quantum ESPRESSO input file:
```
&SYSTEM
  ibrav = 0, nat = 5, ntyp = 3
/
ATOMIC_SPECIES
Co 58.93 Co.upf
Cd 112.41 Cd.upf
N 14.01 N.upf
ATOMIC_POSITIONS crystal
Co 0.0000 0.0000 0.5000
Co 0.0000 0.5000 0.0000
Co 0.5000 0.0000 0.0000
Cd 0.5000 0.5000 0.5000
N 0.0000 0.0000 0.0000
CELL_PARAMETERS angstrom
-2.7370 0.5504 -2.6528
0.7955 -3.4413 -1.5349
-2.5898 -1.6388 2.3321
```

Calculated values
DOS at the Fermi energy, states/eV per cell: 5.2
VASP energy, eV/atom: -6.08
Total magnetic moment, μB/f.u.: 3.37
E_form (uncorrected), eV per atom: 0.0332
SG: Pm-3m

CdCo2N2 | PBE-GGA | relaxed Values from VASP.

Quantum ESPRESSO input file:
```
&SYSTEM
  ibrav = 0, nat = 5, ntyp = 3
/
ATOMIC_SPECIES
N 14.01 N.upf
Co 58.93 Co.upf
Cd 112.41 Cd.upf
ATOMIC_POSITIONS crystal
N 0.7175 0.7175 0.7175
N 0.2825 0.2825 0.2825
Co 0.6320 0.6320 0.6320
Co 0.3680 0.3680 0.3680
Cd 0.5000 0.5000 0.5000
CELL_PARAMETERS angstrom
-7.4508 1.5925 -3.5949
-7.9901 -1.1823 -2.3947
-8.2934 1.3292 -0.6535
```

Calculated values
E above lowest polymorph, eV/atom: 0.0000
DOS at the Fermi energy, states/eV per cell: 2.7
VASP energy, eV/atom: -6.08
Total magnetic moment, μB/f.u.: 0.00
E_form (uncorrected), eV per atom: 0.2731
SG: R-3m

Cd3CoN | PBE-GGA | relaxed Values from VASP.

Quantum ESPRESSO input file:
```
&SYSTEM
  ibrav = 0, nat = 5, ntyp = 3
/
ATOMIC_SPECIES
Cd 112.41 Cd.upf
N 14.01 N.upf
Co 58.93 Co.upf
ATOMIC_POSITIONS crystal
Cd 0.0000 0.5000 0.0000
Cd 0.5000 0.0000 0.0000
Cd 0.0000 0.0000 0.5000
N 0.5000 0.5000 0.5000
Co 0.0000 0.0000 0.0000
CELL_PARAMETERS angstrom
-4.2498 -0.9640 -2.4649
2.2081 -3.8621 -2.2965
-1.4593 -3.0365 3.7035
```

Calculated values
E above lowest polymorph, eV/atom: 0.4926
DOS at the Fermi energy, states/eV per cell: 4.0
VASP energy, eV/atom: -2.29
Total magnetic moment, μB/f.u.: 3.36
E_form (uncorrected), eV per atom: 1.3453
SG: Pm-3m

CdCoN | PBE-GGA | relaxed Values from VASP.

Quantum ESPRESSO input file:
```
&SYSTEM
  ibrav = 0, nat = 12, ntyp = 3
/
ATOMIC_SPECIES
Cd 112.41 Cd.upf
Co 58.93 Co.upf
N 14.01 N.upf
ATOMIC_POSITIONS crystal
Cd 0.2500 0.9980 0.1267
Cd 0.7500 0.4980 0.3733
Cd 0.2500 0.5020 0.6267
Cd 0.7500 0.0020 0.8733
Co 0.7500 0.9981 0.4141
Co 0.2500 0.4981 0.0859
Co 0.7500 0.5019 0.9141
Co 0.2500 0.0019 0.5859
N 0.7500 0.4973 0.1232
N 0.7500 0.0027 0.6232
N 0.2500 0.5027 0.8768
N 0.2500 0.9973 0.3768
CELL_PARAMETERS angstrom
-2.3881 2.4030 0.7689
-1.3672 -2.9024 4.8246
6.3157 4.7832 4.6672
```

Calculated values
DOS at the Fermi energy, states/eV per cell: 6.9
VASP energy, eV/atom: -5.13
Total magnetic moment, μB/f.u.: 0.39
E_form (uncorrected), eV per atom: 0.3195
SG: Pnma

CdCo2N2 | PBE-GGA | relaxed Values from VASP.

Quantum ESPRESSO input file:
```
&SYSTEM
  ibrav = 0, nat = 20, ntyp = 3
/
ATOMIC_SPECIES
N 14.01 N.upf
Co 58.93 Co.upf
Cd 112.41 Cd.upf
ATOMIC_POSITIONS crystal
N 0.7500 0.3632 0.5623
N 0.7500 0.8632 0.5623
N 0.2500 0.6368 0.4377
N 0.2500 0.1368 0.4377
N 0.7500 0.3632 0.9377
N 0.7500 0.8632 0.9377
N 0.2500 0.6368 0.0623
N 0.2500 0.1368 0.0623
Co 0.2500 0.6425 0.9287
Co 0.2500 0.1425 0.9286
Co 0.2500 0.6425 0.5714
Co 0.7500 0.8575 0.0714
Co 0.2500 0.1425 0.5713
Co 0.7500 0.3575 0.0713
Co 0.7500 0.3575 0.4286
Co 0.7500 0.8575 0.4287
Cd 0.7500 0.6445 0.7501
Cd 0.2500 0.8555 0.2501
Cd 0.2500 0.3555 0.2499
Cd 0.7500 0.1445 0.7499
CELL_PARAMETERS angstrom
2.6890 0.0000 0.0000
0.0000 5.7640 0.0000
0.0000 0.0000 14.9254
```

Calculated values
E above lowest polymorph, eV/atom: 0.1927
DOS at the Fermi energy, states/eV per cell: 23.0
VASP energy, eV/atom: -5.89
Total magnetic moment, μB/f.u.: 0.00
E_form (uncorrected), eV per atom: 0.4658
SG: Pmmn

Cd3CoN | PBE-GGA | relaxed Values from VASP.

Quantum ESPRESSO input file:
```
&SYSTEM
  ibrav = 0, nat = 5, ntyp = 3
/
ATOMIC_SPECIES
Cd 112.41 Cd.upf
N 14.01 N.upf
Co 58.93 Co.upf
ATOMIC_POSITIONS crystal
Cd 0.0000 0.5000 0.0000
Cd 0.0000 0.0000 0.5000
Cd 0.5000 0.0000 0.0000
N 0.0000 0.0000 0.0000
Co 0.5000 0.5000 0.5000
CELL_PARAMETERS angstrom
-1.1270 -4.0868 -1.6110
2.9812 0.5100 -3.3793
3.2264 -1.8988 2.5598
```

Calculated values
E above lowest polymorph, eV/atom: 0.0000
DOS at the Fermi energy, states/eV per cell: 4.4
VASP energy, eV/atom: -2.78
Total magnetic moment, μB/f.u.: 1.52
E_form (uncorrected), eV per atom: 0.8527
SG: Pm-3m

Cd2CoN | PBE-GGA | relaxed Values from VASP.

Quantum ESPRESSO input file:
```
&SYSTEM
  ibrav = 0, nat = 8, ntyp = 3
/
ATOMIC_SPECIES
N 14.01 N.upf
Cd 112.41 Cd.upf
Co 58.93 Co.upf
ATOMIC_POSITIONS crystal
N 0.2500 0.7500 0.5000
N 0.5000 0.5000 0.0000
Cd 0.4920 0.1250 0.2500
Cd 0.2580 0.6250 0.2500
Cd 0.8750 0.7420 0.7500
Cd 0.3750 0.5080 0.7500
Co 0.0000 0.0000 0.0000
Co 0.7500 0.2500 0.5000
CELL_PARAMETERS angstrom
9.0149 0.0000 0.0000
0.0000 9.0149 0.0000
4.5074 4.5074 1.7241
```

Calculated values
DOS at the Fermi energy, states/eV per cell: 5.1
VASP energy, eV/atom: -4.01
Total magnetic moment, μB/f.u.: 0.00
E_form (uncorrected), eV per atom: 0.3069
SG: I-42d

NaCdCoN2 | PBE-GGA | relaxed Values from VASP.

Quantum ESPRESSO input file:
```
&SYSTEM
  ibrav = 0, nat = 5, ntyp = 4
/
ATOMIC_SPECIES
Co 58.93 Co.upf
N 14.01 N.upf
Cd 112.41 Cd.upf
Na 22.99 Na.upf
ATOMIC_POSITIONS crystal
Co 0.5000 0.5000 0.5000
N 0.0000 0.0000 0.5000
N 0.5000 0.0000 0.0000
Cd 0.0000 0.0000 0.0000
Na 0.0000 0.5000 0.0000
CELL_PARAMETERS angstrom
-4.0932 1.2025 -0.1366
-1.3327 -4.6341 -0.8590
-0.3401 -0.6807 4.2000
```

Calculated values
DOS at the Fermi energy, states/eV per cell: 6.5
VASP energy, eV/atom: -3.13
Total magnetic moment, μB/f.u.: 3.60
E_form (uncorrected), eV per atom: 2.0693
SG: P4/mmm

CdCoNi2N | PBE-GGA | relaxed Values from VASP.

Quantum ESPRESSO input file:
```
&SYSTEM
  ibrav = 0, nat = 5, ntyp = 4
/
ATOMIC_SPECIES
Cd 112.41 Cd.upf
N 14.01 N.upf
Ni 58.69 Ni.upf
Co 58.93 Co.upf
ATOMIC_POSITIONS crystal
Cd 0.5000 0.5000 0.5000
N 0.0000 0.0000 0.0000
Ni 0.5000 0.0000 0.0000
Ni 0.0000 0.5000 0.0000
Co 0.0000 0.0000 0.5000
CELL_PARAMETERS angstrom
3.8954 0.0000 0.0000
0.0000 3.8954 0.0000
0.0000 0.0000 3.7757
```

Calculated values
E above lowest polymorph, eV/atom: 0.0000
DOS at the Fermi energy, states/eV per cell: 3.0
VASP energy, eV/atom: -5.62
Total magnetic moment, μB/f.u.: 1.41
E_form (uncorrected), eV per atom: -0.0336
SG: P4/mmm

CdCo2NiN | PBE-GGA | relaxed Values from VASP.

Quantum ESPRESSO input file:
```
&SYSTEM
  ibrav = 0, nat = 5, ntyp = 4
/
ATOMIC_SPECIES
Co 58.93 Co.upf
N 14.01 N.upf
Cd 112.41 Cd.upf
Ni 58.69 Ni.upf
ATOMIC_POSITIONS crystal
Co 0.5000 0.0000 0.0000
Co 0.0000 0.5000 0.0000
N 0.0000 0.0000 0.0000
Cd 0.5000 0.5000 0.5000
Ni 0.0000 0.0000 0.5000
CELL_PARAMETERS angstrom
3.8253 0.0000 0.0000
0.0000 3.8253 0.0000
0.0000 0.0000 3.9111
```

Calculated values
DOS at the Fermi energy, states/eV per cell: 6.0
VASP energy, eV/atom: -5.84
Total magnetic moment, μB/f.u.: 2.34
E_form (uncorrected), eV per atom: 0.0113
SG: P4/mmm

CdCoNi2N | PBE-GGA | relaxed Values from VASP.

Quantum ESPRESSO input file:
```
&SYSTEM
  ibrav = 0, nat = 5, ntyp = 4
/
ATOMIC_SPECIES
Ni 58.69 Ni.upf
Cd 112.41 Cd.upf
N 14.01 N.upf
Co 58.93 Co.upf
ATOMIC_POSITIONS crystal
Ni 0.0000 0.0000 0.5000
Ni 0.5000 0.0000 0.0000
Cd 0.0000 0.0000 0.0000
N 0.5000 0.5000 0.5000
Co 0.0000 0.5000 0.0000
CELL_PARAMETERS angstrom
4.5990 0.0000 0.0000
0.0000 4.6422 0.0000
0.0000 0.0000 4.5990
```

Calculated values
E above lowest polymorph, eV/atom: 2.5889
DOS at the Fermi energy, states/eV per cell: 9.8
VASP energy, eV/atom: -3.03
Total magnetic moment, μB/f.u.: 4.44
E_form (uncorrected), eV per atom: 2.5553
SG: P4/mmm